Below is crystalline AlSb2HI at its relaxed geometry, with properties calculated at the GGA-PBE level.

Results
Excess energy over the best structure of this formula in the dataset in meV/atom: 0
Final energy in eV per cell: -14.5

```
data_AlSb2HI
_symmetry_space_group_name_H-M 'P 4/m m m'
_symmetry_Int_Tables_number 123
_symmetry_space_group_name_Hall '-P 4 2'
_cell_length_a 4.4104
_cell_length_b 4.4104
_cell_length_c 6.5183
_cell_angle_alpha 90.00
_cell_angle_beta 90.00
_cell_angle_gamma 90.00
loop_
_atom_site_label
_atom_site_fract_x
_atom_site_fract_y
_atom_site_fract_z
Al1 0.0000 0.0000 0.0000
Sb1 0.0000 0.5000 0.5000
H1 0.5000 0.5000 0.5000
I1 0.5000 0.5000 0.0000
```



Below is crystalline Th4SiAsSe2 at its relaxed geometry, with properties calculated at the GGA-PBE level.

Results
Final energy in eV per cell: -57.5
E_form (uncorrected) in eV per atom: -1.344

```
data_Th4SiAsSe2
_symmetry_space_group_name_H-M 'P 1 2/m 1'
_symmetry_Int_Tables_number 10
_symmetry_space_group_name_Hall '-P 2y'
_cell_length_a 7.3175
_cell_length_b 4.2500
_cell_length_c 7.3651
_cell_angle_alpha 90.00
_cell_angle_beta 109.65
_cell_angle_gamma 90.00
loop_
_atom_site_label
_atom_site_fract_x
_atom_site_fract_y
_atom_site_fract_z
Th1 0.2367 0.0000 0.2406
Th2 0.2399 0.5000 0.7519
Si1 0.0000 0.5000 0.0000
As1 0.0000 0.0000 0.5000
Se1 0.5000 0.0000 0.0000
Se2 0.5000 0.5000 0.5000
```



Below is crystalline MoRu at its relaxed geometry, with properties calculated at the GGA-PBE level.

Results
Formation energy in eV/f.u.: 0.8
Final energy in eV per cell: -115.6

```
data_MoRu
_symmetry_space_group_name_H-M 'P 63/m'
_symmetry_Int_Tables_number 176
_symmetry_space_group_name_Hall '-P 6c'
_cell_length_a 7.2319
_cell_length_b 7.2319
_cell_length_c 4.3093
_cell_angle_alpha 90.00
_cell_angle_beta 90.00
_cell_angle_gamma 120.00
loop_
_atom_site_label
_atom_site_fract_x
_atom_site_fract_y
_atom_site_fract_z
Mo1 0.1002 0.4803 0.2500
Ru1 0.0574 0.2468 0.7500
```



Below is crystalline Be2WSe at its relaxed geometry, with properties calculated at the GGA-PBE level.

Results
Final energy in eV per cell: -44.7
E_form (uncorrected) in eV per atom: 0.390

```
data_Be2WSe
_symmetry_space_group_name_H-M 'I -4 m 2'
_symmetry_Int_Tables_number 119
_symmetry_space_group_name_Hall 'I -4 -2'
_cell_length_a 3.4721
_cell_length_b 3.4721
_cell_length_c 8.3341
_cell_angle_alpha 90.00
_cell_angle_beta 90.00
_cell_angle_gamma 90.00
loop_
_atom_site_label
_atom_site_fract_x
_atom_site_fract_y
_atom_site_fract_z
Be1 0.0000 0.0000 0.0000
Be2 0.0000 0.5000 0.2500
W1 0.0000 0.0000 0.5000
Se1 0.0000 0.5000 0.7500
```



Below is crystalline TlCr2Si at its relaxed geometry, with properties calculated at the GGA-PBE level.

Results
Final energy in eV per cell: -49.3
E_form (uncorrected) in eV per atom: 0.598

```
data_TlCr2Si
_symmetry_space_group_name_H-M 'C m m m'
_symmetry_Int_Tables_number 65
_symmetry_space_group_name_Hall '-C 2 2'
_cell_length_a 5.9305
_cell_length_b 7.4094
_cell_length_c 2.9782
_cell_angle_alpha 90.00
_cell_angle_beta 90.00
_cell_angle_gamma 90.00
loop_
_atom_site_label
_atom_site_fract_x
_atom_site_fract_y
_atom_site_fract_z
Tl1 0.0000 0.0000 0.0000
Cr1 0.2500 0.2500 0.5000
Si1 0.0000 0.5000 0.0000
```



Below is crystalline NaLi2GaAu at its relaxed geometry, with properties calculated at the GGA-PBE level.

Results
Formation energy in eV/f.u.: -1.0
Final energy in eV per cell: -12.4

```
data_NaLi2GaAu
_symmetry_space_group_name_H-M 'P 4/m m m'
_symmetry_Int_Tables_number 123
_symmetry_space_group_name_Hall '-P 4 2'
_cell_length_a 5.0017
_cell_length_b 5.0017
_cell_length_c 4.8638
_cell_angle_alpha 90.00
_cell_angle_beta 90.00
_cell_angle_gamma 90.00
loop_
_atom_site_label
_atom_site_fract_x
_atom_site_fract_y
_atom_site_fract_z
Na1 0.0000 0.0000 0.0000
Li1 0.0000 0.5000 0.5000
Ga1 0.5000 0.5000 0.0000
Au1 0.5000 0.5000 0.5000
```



Below is crystalline AlHg2Rh2 at its relaxed geometry, with properties calculated at the GGA-PBE level.

Results
Formation energy in eV/f.u.: -1.1
Final energy in eV per cell: -40.4

```
data_AlHg2Rh2
_symmetry_space_group_name_H-M 'P 4/m b m'
_symmetry_Int_Tables_number 127
_symmetry_space_group_name_Hall '-P 4 2ab'
_cell_length_a 6.3913
_cell_length_b 6.3913
_cell_length_c 4.3859
_cell_angle_alpha 90.00
_cell_angle_beta 90.00
_cell_angle_gamma 90.00
loop_
_atom_site_label
_atom_site_fract_x
_atom_site_fract_y
_atom_site_fract_z
Al1 0.0000 0.0000 0.0000
Hg1 0.1647 0.3353 0.5000
Rh1 0.1451 0.6451 0.0000
```



Below is crystalline HfCrCuSe4 at its relaxed geometry, with properties calculated at the GGA-PBE level.

Results
Final energy in eV per cell: -172.7
E_form (uncorrected) in eV per atom: -0.796

```
data_HfCrCuSe4
_symmetry_space_group_name_H-M 'I m m a'
_symmetry_Int_Tables_number 74
_symmetry_space_group_name_Hall '-I 2b 2'
_cell_length_a 7.5447
_cell_length_b 7.6419
_cell_length_c 10.6746
_cell_angle_alpha 90.00
_cell_angle_beta 90.00
_cell_angle_gamma 90.00
loop_
_atom_site_label
_atom_site_fract_x
_atom_site_fract_y
_atom_site_fract_z
Hf1 0.2500 0.2500 0.2500
Cr1 0.0000 0.0000 0.0000
Cu1 0.0000 0.2500 0.6208
Se1 0.0000 0.0025 0.2421
Se2 0.2299 0.2500 0.0000
```